NdB2Ir3 at its PBEsol-relaxed geometry, computed with meta-GGA SCAN.

Lattice parameters (Å, degrees): 3.0891 5.5047 5.5047 120.00 90.00 90.00
Fractional positions:
B 0.5000 0.6667 0.3333
B 0.5000 0.3333 0.6667
Nd 0.5000 0.0000 0.0000
Ir 0.0000 0.0000 0.5000
Ir 0.0000 0.5000 0.0000
Ir 0.0000 0.5000 0.5000

- symmetry = P6/mmm, No. 191
- ΔE_f (meV per atom) = -770
- E (eV per atom) = -46.059
- M_tot (μB/f.u.) = 0.000
- V (Å³ per atom) = 13.51

---

V2Ag6As2O13 at its PBEsol-relaxed geometry, computed with meta-GGA SCAN.

Lattice parameters (Å, degrees): 5.3506 9.6713 13.1850 66.66 78.29 73.94
Fractional positions:
As 0.3788 0.2060 0.0323
As 0.6171 0.2940 0.4677
As 0.6212 0.7940 0.9677
As 0.3829 0.7060 0.5323
V 0.4502 0.9173 0.2652
V 0.3673 0.4173 0.7652
V 0.6327 0.5827 0.2348
V 0.5498 0.0827 0.7348
O 0.6167 0.2500 0.7500
O 0.2971 0.7837 0.9925
O 0.0734 0.7163 0.5075
O 0.4766 0.4810 0.3922
O 0.5814 0.7721 0.4101
O 0.2085 0.0328 0.3140
O 0.3833 0.7500 0.2500
O 0.4186 0.2279 0.5899
O 0.1921 0.3184 0.1067
O 0.2364 0.2721 0.9101
O 0.9266 0.2837 0.4925
O 0.7636 0.7279 0.0899
O 0.3498 0.0190 0.1078
O 0.3829 0.8184 0.6067
O 0.2710 0.0170 0.7714
O 0.7915 0.9672 0.6860
O 0.9407 0.5170 0.2714
O 0.8079 0.6816 0.8933
O 0.7290 0.9830 0.2286
O 0.0593 0.4830 0.7286
O 0.6171 0.1816 0.3933
O 0.6502 0.9810 0.8922
O 0.5234 0.5190 0.6078
O 0.4448 0.5328 0.8140
O 0.5552 0.4672 0.1860
O 0.7029 0.2163 0.0075
Ag 0.8047 0.2225 0.1966
Ag 0.1687 0.0533 0.5447
Ag 0.1953 0.7775 0.8034
Ag 0.9805 0.1111 0.8864
Ag 0.0220 0.6111 0.3864
Ag 0.9780 0.3889 0.6136
Ag 0.2239 0.2775 0.3034
Ag 0.2334 0.5533 0.0447
Ag 0.7761 0.7225 0.6966
Ag 0.7666 0.4467 0.9553
Ag 0.0195 0.8889 0.1136
Ag 0.8313 0.9467 0.4553

- symmetry = C2/c, No. 15
- E (eV per atom) = -16.255
- E_form (uncorrected) (eV/atom) = -1.274
- M_tot (μB/f.u.) = 0.000
- V (Å³ per atom) = 13.01

---

ZnRu2Au at its PBEsol-relaxed geometry, computed with meta-GGA SCAN.

Lattice parameters (Å, degrees): 2.6992 2.6992 9.0925 90.00 90.00 118.29
Last column: magnetic moment on the atom in μB.
Fractional positions:
Au 0.5000 0.5000 0.2559  0.00
Zn 0.0000 0.0000 0.5101  -0.01
Ru 0.5000 0.5000 0.7503  0.75
Ru 0.0000 0.0000 0.9837  0.77

- symmetry = Cmm2, No. 35
- ΔE_f (meV per atom) = 247
- E (eV per atom) = -37.834
- M_tot (μB/f.u.) = 1.490
- V (Å³ per atom) = 14.58

---

MgSc at its PBEsol-relaxed geometry, computed with meta-GGA SCAN.

Lattice parameters (Å, degrees): 3.2238 3.2238 5.5022 72.97 72.97 60.00
Last column: magnetic moment on the atom in μB.
Fractional positions:
Mg 0.0000 0.0000 0.0000  0.01
Sc 0.5000 0.5000 0.5000  0.09

- symmetry = R-3m, No. 166
- ΔE_f (meV per atom) = 19
- E (eV per atom) = -9.587
- M_tot (μB/f.u.) = 0.155
- V (Å³ per atom) = 23.30